{"formula": "BaHfO", "functional": "PBE", "state": "optimized geometry", "lattice": [[-0.927, 2.638, -1.819], [-2.606, -1.496, 2.216], [3.568, 7.763, 9.439]], "species": ["O", "O", "Hf", "Hf", "Ba", "Ba"], "fractional_positions": [[0.432, 0.863, 0.500], [0.338, 0.676, 0.000], [0.842, 0.685, 0.887], [0.842, 0.685, 0.113], [0.106, 0.212, 0.364], [0.106, 0.212, 0.636]], "space_group": "Amm2 (38)", "crystal_system": "orthorhombic", "raw_formation_energy_ev_per_atom": -0.951, "mass_density_g_cm3": 7.77}